The following is a DFT calculation (PBE-GGA) of a relaxed structure of TmFe4Ge2.

The structure in CIF format:
```
data_TmFe4Ge2
_chemical_formula_sum 'Tm2 Fe8 Ge4'
_symmetry_space_group_name_H-M 'P 42/m n m'
_symmetry_Int_Tables_number 136
_symmetry_space_group_name_Hall '-P 4n 2n'
_cell_length_a 7.133
_cell_length_b 7.133
_cell_length_c 3.862
_cell_angle_alpha 90.00
_cell_angle_beta 90.00
_cell_angle_gamma 90.00
loop_
_atom_site_label
_atom_site_type_symbol
_atom_site_fract_x
_atom_site_fract_y
_atom_site_fract_z
_atom_site_occupancy
Tm1 Tm 0.000 0.000 0.000 1
Fe1 Fe 0.091 0.358 0.500 1
Ge1 Ge 0.216 0.784 0.500 1
```

Properties
Total DFT energy (no corrections) = -7.094 eV/atom
Calculated density = 9.09 g/cm3
Formation energy = -300.3 meV per atom
Magnetic moment = 5.202 μB per formula unit